1.
First-principles (PBE-GGA) data for a relaxed Ta2OsPt crystal, as listed in the Alexandria database.

Cell lengths 9.337, 9.337, 9.337 Å; angles 17.92, 17.92, 17.92 degrees
Fractional coordinates of all 4 atoms:
1 Ta 0.002 0.002 0.002
2 Ta 0.246 0.246 0.246
3 Os 0.503 0.503 0.503
4 Pt 0.749 0.749 0.749

N(E_F) = 0.82 states/eV per atom
DFT total energy = -10.2442 eV/atom
total magnetization = 0.000 μB/f.u.

---

2.
First-principles (PBE-GGA) data for a relaxed VZnRh3 crystal, as listed in the Alexandria database.

Cell lengths 4.473, 4.473, 4.473 Å; angles 90.00, 90.00, 90.00 degrees
Fractional coordinates of all 5 atoms:
1 Rh 0.000 0.500 0.000
2 Rh 0.000 0.000 0.500
3 Rh 0.500 0.000 0.000
4 V 0.000 0.000 0.000
5 Zn 0.500 0.500 0.500

N(E_F) = 0.43 states/eV per atom
DFT total energy = -5.8802 eV/atom
excess energy over the best structure of this formula in the dataset = 398 meV/atom
total magnetization = 0.000 μB/f.u.

---

3.
First-principles (PBE-GGA) data for a relaxed Er8AgBi2 crystal, as listed in the Alexandria database.

Cell lengths 5.114, 6.916, 9.301 Å; angles 86.42, 105.96, 90.00 degrees
Fractional coordinates of all 11 atoms:
1 Er 0.213 0.378 0.425
2 Er 0.969 0.748 0.938
3 Er 0.031 0.252 0.062
4 Er 0.660 0.097 0.321
5 Er 0.590 0.564 0.180
6 Er 0.787 0.622 0.575
7 Er 0.340 0.903 0.679
8 Er 0.410 0.436 0.820
9 Bi 0.160 0.831 0.321
10 Bi 0.840 0.169 0.679
11 Ag 0.500 0.000 0.000

N(E_F) = 1.02 states/eV per atom
DFT total energy = -4.5768 eV/atom
total magnetization = 0.001 μB/f.u.

---

4.
First-principles (PBE-GGA) data for a relaxed RbFe2Ru crystal, as listed in the Alexandria database.

Cell lengths 4.463, 4.463, 4.463 Å; angles 60.00, 60.00, 60.00 degrees
Fractional coordinates of all 4 atoms:
1 Rb 0.000 0.000 0.000
2 Ru 0.500 0.500 0.500
3 Fe 0.250 0.250 0.250
4 Fe 0.750 0.750 0.750

N(E_F) = 4.64 states/eV per atom
DFT total energy = -4.8782 eV/atom
excess energy over the best structure of this formula in the dataset = 283 meV/atom
total magnetization = 0.000 μB/f.u.

---

5.
First-principles (PBE-GGA) data for a relaxed SrInAu2 crystal, as listed in the Alexandria database.

Cell lengths 4.001, 4.978, 4.978 Å; angles 90.00, 90.00, 90.00 degrees
Fractional coordinates of all 4 atoms:
1 Au 0.000 0.000 0.500
2 Au 0.000 0.500 0.000
3 In 0.500 0.000 0.000
4 Sr 0.500 0.500 0.500

N(E_F) = 0.33 states/eV per atom
DFT total energy = -3.2251 eV/atom
total magnetization = 0.000 μB/f.u.

---

6.
First-principles (PBE-GGA) data for a relaxed Rb2MgBrCl3 crystal, as listed in the Alexandria database.

Cell lengths 5.361, 5.093, 8.978 Å; angles 106.48, 107.37, 90.00 degrees
Fractional coordinates of all 7 atoms:
1 Mg 0.000 0.000 0.000
2 Cl 0.847 0.847 0.693
3 Cl 0.153 0.153 0.307
4 Cl 0.000 0.500 0.000
5 Rb 0.355 0.355 0.710
6 Rb 0.645 0.645 0.290
7 Br 0.500 0.000 0.000

N(E_F) = 0.00 states/eV per atom
DFT total energy = -3.3736 eV/atom
total magnetization = 0.000 μB/f.u.

---

7.
First-principles (PBE-GGA) data for a relaxed Ac4NdPb5 crystal, as listed in the Alexandria database.

Cell lengths 3.829, 3.829, 23.492 Å; angles 90.00, 90.00, 90.00 degrees
Fractional coordinates of all 10 atoms:
1 Pb 0.500 0.500 0.907
2 Pb 0.500 0.500 0.703
3 Pb 0.500 0.500 0.500
4 Pb 0.500 0.500 0.093
5 Pb 0.500 0.500 0.297
6 Ac 0.000 0.000 0.398
7 Ac 0.000 0.000 0.602
8 Ac 0.000 0.000 0.195
9 Ac 0.000 0.000 0.805
10 Nd 0.000 0.000 0.000

N(E_F) = 0.77 states/eV per atom
DFT total energy = -4.4636 eV/atom
total magnetization = 0.001 μB/f.u.

---

8.
First-principles (PBE-GGA) data for a relaxed Er3In2Ga crystal, as listed in the Alexandria database.

Cell lengths 5.187, 5.187, 6.382 Å; angles 90.00, 90.00, 120.00 degrees
Fractional coordinates of all 6 atoms:
1 In 0.667 0.333 0.340
2 In 0.333 0.667 0.660
3 Er 0.667 0.333 0.846
4 Er 0.333 0.667 0.154
5 Er 0.000 0.000 0.500
6 Ga 0.000 0.000 0.000

N(E_F) = 0.61 states/eV per atom
DFT total energy = -4.1616 eV/atom
excess energy over the best structure of this formula in the dataset = 18 meV/atom
total magnetization = 0.000 μB/f.u.

---

9.
First-principles (PBE-GGA) data for a relaxed ScTlTe crystal, as listed in the Alexandria database.

Cell lengths 4.902, 4.902, 4.320 Å; angles 90.00, 90.00, 120.00 degrees
Fractional coordinates of all 3 atoms:
1 Sc 0.000 0.000 0.167
2 Te 0.667 0.333 0.167
3 Tl 0.333 0.667 0.666

N(E_F) = 0.79 states/eV per atom
DFT total energy = -4.3218 eV/atom
excess energy over the best structure of this formula in the dataset = 173 meV/atom
total magnetization = 0.000 μB/f.u.

---

10.
First-principles (PBE-GGA) data for a relaxed TmZr2Tc crystal, as listed in the Alexandria database.

Cell lengths 5.929, 6.997, 8.806 Å; angles 90.00, 90.00, 90.00 degrees
Fractional coordinates of all 16 atoms:
1 Zr 0.652 0.821 0.941
2 Zr 0.152 0.679 0.441
3 Zr 0.652 0.821 0.559
4 Zr 0.348 0.179 0.059
5 Zr 0.848 0.321 0.559
6 Zr 0.848 0.321 0.941
7 Zr 0.152 0.679 0.059
8 Zr 0.348 0.179 0.441
9 Tc 0.599 0.113 0.750
10 Tc 0.901 0.613 0.750
11 Tc 0.099 0.387 0.250
12 Tc 0.401 0.887 0.250
13 Tm 0.632 0.531 0.250
14 Tm 0.132 0.969 0.750
15 Tm 0.868 0.031 0.250
16 Tm 0.368 0.469 0.750

N(E_F) = 0.97 states/eV per atom
DFT total energy = -8.0990 eV/atom
excess energy over the best structure of this formula in the dataset = 0 meV/atom
total magnetization = 0.000 μB/f.u.

---

11.
First-principles (PBE-GGA) data for a relaxed Al2PdPt2 crystal, as listed in the Alexandria database.

Cell lengths 3.865, 3.865, 6.270 Å; angles 72.05, 72.05, 90.00 degrees
Fractional coordinates of all 5 atoms:
1 Al 0.250 0.750 0.500
2 Al 0.750 0.250 0.500
3 Pt 0.384 0.384 0.231
4 Pt 0.616 0.616 0.769
5 Pd 0.000 0.000 0.000

N(E_F) = 0.29 states/eV per atom
DFT total energy = -5.5689 eV/atom
excess energy over the best structure of this formula in the dataset = 264 meV/atom
total magnetization = 0.000 μB/f.u.

---

12.
First-principles (PBE-GGA) data for a relaxed NdP3Pd7 crystal, as listed in the Alexandria database.

Cell lengths 7.635, 7.635, 8.272 Å; angles 62.52, 62.52, 60.00 degrees
Fractional coordinates of all 22 atoms:
1 P 0.250 0.576 0.250
2 P 0.076 0.750 0.750
3 P 0.924 0.250 0.250
4 P 0.424 0.076 0.750
5 P 0.576 0.924 0.250
6 P 0.750 0.424 0.750
7 Pd 0.651 0.087 0.418
8 Pd 0.413 0.849 0.082
9 Pd 0.750 0.750 0.750
10 Pd 0.344 0.587 0.918
11 Pd 0.349 0.913 0.582
12 Pd 0.844 0.651 0.418
13 Pd 0.656 0.413 0.082
14 Pd 0.913 0.156 0.582
15 Pd 0.087 0.844 0.418
16 Pd 0.156 0.349 0.582
17 Pd 0.849 0.656 0.082
18 Pd 0.587 0.151 0.918
19 Pd 0.151 0.344 0.918
20 Pd 0.250 0.250 0.250
21 Nd 0.500 0.500 0.500
22 Nd 0.000 0.000 0.000

N(E_F) = 0.84 states/eV per atom
DFT total energy = -5.7861 eV/atom
total magnetization = 0.000 μB/f.u.